1.
NaMnSbO3 | GGA+U | optimized geometry

Calculated values
The density of states at the Fermi level is 0.0000 states/eV per atom. The energy comes out at -5.815 eV/atom. Its space group is Cmcm.

abc: 6.149 6.149 9.020
angles: 90.00 90.00 140.28
Atoms (fractional coordinates):
Na: 0.203 0.797 0.750
Na: 0.797 0.203 0.250
Mn: 0.000 0.000 0.000
Mn: 0.000 0.000 0.500
Sb: 0.478 0.522 0.750
Sb: 0.522 0.478 0.250
O: 0.001 0.999 0.250
O: 0.405 0.595 0.087
O: 0.405 0.595 0.413
O: 0.595 0.405 0.587
O: 0.595 0.405 0.913
O: 0.999 0.001 0.750


2.
Na2MnSbO4 | GGA+U | optimized geometry

Calculated values
The energy comes out at -5.794 eV/atom. Its space group is C2/m.

abc: 6.574 6.574 6.709
angles: 119.92 119.92 60.23
Atoms (fractional coordinates):
Na: 0.000 0.000 0.000
Na: 0.000 0.000 0.500
Na: 0.000 0.500 0.000
Na: 0.500 0.000 0.000
Mn: 0.000 0.500 0.500
Mn: 0.500 0.000 0.500
Sb: 0.500 0.500 0.000
Sb: 0.500 0.500 0.500
O: 0.262 0.262 0.729
O: 0.278 0.713 0.718
O: 0.280 0.280 0.292
O: 0.287 0.722 0.282
O: 0.713 0.278 0.718
O: 0.720 0.720 0.708
O: 0.722 0.287 0.282
O: 0.738 0.738 0.271